i | # LaCrRu2

Crystalline LaCrRu2 at its relaxed geometry (PBE, the Alexandria database).

Computed properties:
The calculation puts the density at 9.20 g/cm3. The calculation puts the spin magnetization at 3.1 μB/f.u.

abc: 3.1434 4.5593 4.9522
angles: 90.00 90.00 90.00
Closest atoms and distances in Å follow each position.
Atoms (fractional coordinates):
La (0.0000, 0.0000, 0.0000)  4 Ru 2.77, 4 Cr 2.93
Cr (0.5000, 0.0000, 0.5000)  4 Ru 2.77, 4 La 2.93
Ru (0.0000, 0.5000, 0.5000)  4 Cr 2.77, 4 Ru 2.93
Ru (0.5000, 0.5000, 0.0000)  4 La 2.77, 4 Ru 2.93

---

ii | # LaCrRu2

Crystalline LaCrRu2 at its relaxed geometry (PBE, the Alexandria database).

Computed properties:
The calculation puts the density at 8.00 g/cm3. The calculation puts the spin magnetization at 0.1 μB/f.u.

abc: 4.1951 4.1951 5.8732
angles: 110.85 110.85 60.03
Closest atoms and distances in Å follow each position.
Atoms (fractional coordinates):
La (0.0000, 0.0000, 0.0000)  8 Ru 3.17-3.26
Cr (0.5000, 0.5000, 0.5000)  6 Ru 2.47
Ru (0.1975, 0.1975, 0.5926)  3 Cr 2.47, 3 Ru 2.62
Ru (0.8025, 0.8025, 0.4074)  3 Cr 2.47, 3 Ru 2.62

---

iii | # LaCrRu2

Crystalline LaCrRu2 at its relaxed geometry (PBE, the Alexandria database).

Computed properties:
The calculation puts the density at 8.72 g/cm3. The calculation puts the spin magnetization at 2.3 μB/f.u.

abc: 5.1070 5.1070 5.1672
angles: 104.03 104.03 35.06
Closest atoms and distances in Å follow each position.
Atoms (fractional coordinates):
La (0.0000, 0.0000, 0.0000)  7 Ru 2.95-3.17, 2 La 3.08, 3 Cr 3.08-3.27
Cr (0.7839, 0.7839, 0.3431)  4 Ru 2.42-2.61
Ru (0.2332, 0.2332, 0.6694)  2 Cr 2.42, 2 Ru 2.66
Ru (0.5045, 0.5045, 0.5150)  2 Cr 2.61, 2 Ru 2.66

---

Which of them is most stable? Easy: ii.